Below is an optimized crystal structure of NdSmPdRu, with properties calculated at the GGA-PBE level. Values from VASP.

Values from the calculation:
As for the energy above the lowest structure with this stoichiometry: 39 meV/atom. The energy is -6.4554 eV per atom. The calculation puts the size of the total moment at 0.00 μB/f.u.

```
&SYSTEM
  ibrav = 0, nat = 4, ntyp = 4
/
ATOMIC_SPECIES
Nd 144.24 Nd.upf
Sm 150.36 Sm.upf
Pd 106.42 Pd.upf
Ru 101.07 Ru.upf
CELL_PARAMETERS angstrom
0.000 3.545 3.545
3.545 0.000 3.545
3.545 3.545 0.000
ATOMIC_POSITIONS angstrom
Nd 0.000 0.000 0.000
Sm 3.545 3.545 3.545
Pd 1.773 1.773 1.773
Ru 5.318 5.318 5.318
```